1.
Below is crystalline CeGdTm2 at its relaxed geometry, with properties calculated at the PBE level.

Computed properties:
The relative energy among the computed polymorphs is 122.1 meV per atom. The energy of formation from the pure elements comes out at 0.183 eV per atom. The calculation puts the density of states at the Fermi level at 1.8545 states/eV per atom.

```
data_CeGdTm2
_cell_length_a 3.3719
_cell_length_b 3.3719
_cell_length_c 36.6613
_cell_angle_alpha 90.00
_cell_angle_beta 90.00
_cell_angle_gamma 120.00
_space_group_name_H-M_alt 'R -3 m'
_space_group_IT_number 166
_space_group_name_Hall '-R 3 2"'
loop_
_atom_site_label
_atom_site_fract_x
_atom_site_fract_y
_atom_site_fract_z
_atom_site_occupancy
Ce1 0.0000 0.0000 0.0000 1
Gd1 0.0000 0.0000 0.5000 1
Tm1 0.0000 0.0000 0.0881 1
```

2.
Below is crystalline CeGdTm2 at its relaxed geometry, with properties calculated at the PBE level.

Computed properties:
The relative energy among the computed polymorphs is 73.5 meV per atom. The energy of formation from the pure elements comes out at 0.135 eV per atom. The calculation puts the density of states at the Fermi level at 2.1810 states/eV per atom.

```
data_CeGdTm2
_cell_length_a 7.9361
_cell_length_b 7.9361
_cell_length_c 7.9361
_cell_angle_alpha 90.00
_cell_angle_beta 90.00
_cell_angle_gamma 90.00
_space_group_name_H-M_alt 'F m -3 m'
_space_group_IT_number 225
_space_group_name_Hall '-F 4 2 3'
loop_
_atom_site_label
_atom_site_fract_x
_atom_site_fract_y
_atom_site_fract_z
_atom_site_occupancy
Ce1 0.0000 0.0000 0.0000 1
Gd1 0.0000 0.0000 0.5000 1
Tm1 0.2500 0.2500 0.2500 1
```